[1]
This record from the Alexandria database describes YFe2Br after structural relaxation. The functional is GGA-PBE.

The structure in POSCAR format:
```
YFe2Br
1.0
3.2795 0.0000 0.0000
0.0000 3.2795 0.0000
0.0000 0.0000 8.0246
Y Fe Br
1 2 1
direct
0.0000 0.0000 0.0000
0.0000 0.0000 0.6394
0.5000 0.5000 0.7567
0.5000 0.5000 0.2406
```

Output
Relative energy among the computed polymorphs = 74 meV per atom
Symmetry = P4mm, No. 99
E_tot = -25.2 eV/f.u.

***

[2]
This record from the Alexandria database describes Ac5Hg2N2 after structural relaxation. The functional is GGA-PBE.

The structure in POSCAR format:
```
Ac5Hg2N2
1.0
-9.9676 3.8638 3.7466
9.9676 -3.8638 3.7466
9.9676 3.8638 -3.7466
Ac Hg N
10 4 4
direct
0.2454 0.0126 0.2580
0.2454 0.4874 0.7328
0.2613 0.3715 0.3898
0.6694 0.0828 0.3028
0.6694 0.8666 0.0866
0.7546 0.5126 0.2672
0.7546 0.9874 0.7420
0.7800 0.3666 0.6972
0.7800 0.5828 0.9134
0.9817 0.8715 0.6102
0.2400 0.3640 0.0890
0.2400 0.6510 0.3760
0.2750 0.1510 0.9110
0.2750 0.8640 0.6240
0.7107 0.5384 0.6723
0.7406 0.2406 0.5000
0.7406 0.7406 0.0000
0.8660 0.0384 0.3277
```

Output
Symmetry = Ima2, No. 46
E_tot = -44.0 eV/f.u.

***

[3]
This record from the Alexandria database describes Be2Tl2IrO6 after structural relaxation. The functional is GGA-PBE.

The structure in POSCAR format:
```
Be2Tl2IrO6
1.0
2.6900 1.5531 5.8437
-2.6900 1.5531 5.8437
0.0000 -3.1061 5.8437
Be Tl Ir O
2 2 1 6
direct
0.1064 0.1064 0.1064
0.8936 0.8936 0.8936
0.2869 0.2869 0.2869
0.7131 0.7131 0.7131
0.5000 0.5000 0.5000
0.2307 0.7344 0.7344
0.2656 0.2656 0.7693
0.2656 0.7693 0.2656
0.7344 0.2307 0.7344
0.7344 0.7344 0.2307
0.7693 0.2656 0.2656
```

Output
Symmetry = R-3m, No. 166
E_tot = -65.1 eV/f.u.

***

Number 1: formation energy from raw total energies -0.05 eV per atom, DOS(E_F) 2.91 states/eV per cell. Number 2: formation energy from raw total energies -0.69 eV per atom, DOS(E_F) 12.02 states/eV per cell. Number 3: formation energy from raw total energies -1.30 eV per atom, DOS(E_F) 5.06 states/eV per cell.